Computed, not measured: an optimized crystal structure of EuThInHg at the PBE level of DFT.

Summary:
Calculated volume ... 467.0 Å³/cell
Magnetization ... 31.72 μB per cell
Total DFT energy (no corrections) ... -5.488 eV per atom
ΔE_f ... -0.305 eV per atom

```
data_EuThInHg
_symmetry_space_group_name_H-M 'F -4 3 m'
_symmetry_Int_Tables_number 216
_symmetry_space_group_name_Hall 'F -4 2 3'
_cell_length_a 7.7586
_cell_length_b 7.7586
_cell_length_c 7.7586
_cell_angle_alpha 90.00
_cell_angle_beta 90.00
_cell_angle_gamma 90.00
loop_
_atom_site_label
_atom_site_type_symbol
_atom_site_fract_x
_atom_site_fract_y
_atom_site_fract_z
Eu1 Eu 0.0000 0.0000 0.0000
Th1 Th 0.0000 0.0000 0.5000
In1 In 0.2500 0.2500 0.2500
Hg1 Hg 0.2500 0.2500 0.7500
```

Computed, not measured: an optimized crystal structure of Ag12S6Br at the PBE level of DFT.

Summary:
Calculated volume ... 1211.5 Å³/cell
Uncorrected formation energy ... 10.0 meV/atom
Magnetization ... 0.08 μB per cell
Total DFT energy (no corrections) ... -3.182 eV per atom

```
data_Ag12S6Br
_symmetry_space_group_name_H-M 'R -3 m'
_symmetry_Int_Tables_number 166
_symmetry_space_group_name_Hall '-R 3 2"'
_cell_length_a 11.4687
_cell_length_b 11.4687
_cell_length_c 10.6359
_cell_angle_alpha 90.00
_cell_angle_beta 90.00
_cell_angle_gamma 120.00
loop_
_atom_site_label
_atom_site_type_symbol
_atom_site_fract_x
_atom_site_fract_y
_atom_site_fract_z
Ag1 Ag 0.0000 0.3297 0.0000
Ag2 Ag 0.0852 0.1703 0.8235
S1 S 0.0481 0.5240 0.8317
Br1 Br 0.0000 0.0000 0.5000
```

Computed, not measured: an optimized crystal structure of Sm2PuHg at the PBE level of DFT.

Summary:
Calculated volume ... 366.9 Å³/cell
ΔE to the lowest computed polymorph ... 286 meV per atom
Magnetization ... 19.55 μB per cell
Total DFT energy (no corrections) ... -5.856 eV per atom
ΔE_f ... 0.162 eV per atom

```
data_Sm2PuHg
_symmetry_space_group_name_H-M 'R -3 m'
_symmetry_Int_Tables_number 166
_symmetry_space_group_name_Hall '-R 3 2"'
_cell_length_a 3.4673
_cell_length_b 3.4673
_cell_length_c 35.2354
_cell_angle_alpha 90.00
_cell_angle_beta 90.00
_cell_angle_gamma 120.00
loop_
_atom_site_label
_atom_site_type_symbol
_atom_site_fract_x
_atom_site_fract_y
_atom_site_fract_z
Sm1 Sm 0.0000 0.0000 0.0942
Pu1 Pu 0.0000 0.0000 0.0000
Hg1 Hg 0.0000 0.0000 0.5000
```

Computed, not measured: an optimized crystal structure of Ca2Ru2F at the PBE level of DFT.

Summary:
Calculated volume ... 207.0 Å³/cell
ΔE to the lowest computed polymorph ... 0 meV per atom
Uncorrected formation energy ... -643.9 meV/atom
Magnetization ... 0.20 μB per cell
Total DFT energy (no corrections) ... -5.529 eV per atom

```
data_Ca2Ru2F
_symmetry_space_group_name_H-M 'I 4/m m m'
_symmetry_Int_Tables_number 139
_symmetry_space_group_name_Hall '-I 4 2'
_cell_length_a 3.5511
_cell_length_b 3.5511
_cell_length_c 16.4169
_cell_angle_alpha 90.00
_cell_angle_beta 90.00
_cell_angle_gamma 90.00
loop_
_atom_site_label
_atom_site_type_symbol
_atom_site_fract_x
_atom_site_fract_y
_atom_site_fract_z
Ca1 Ca 0.0000 0.0000 0.1064
Ru1 Ru 0.0000 0.5000 0.2500
F1 F 0.0000 0.0000 0.5000
```

Computed, not measured: an optimized crystal structure of Ba4SrLi5 at the PBE level of DFT.

Summary:
Calculated volume ... 420.0 Å³/cell
Magnetization ... 0.00 μB per cell
Total DFT energy (no corrections) ... -1.850 eV per atom
ΔE_f ... 0.044 eV per atom

```
data_Ba4SrLi5
_symmetry_space_group_name_H-M 'P 4/m m m'
_symmetry_Int_Tables_number 123
_symmetry_space_group_name_Hall '-P 4 2'
_cell_length_a 4.3867
_cell_length_b 4.3867
_cell_length_c 21.8286
_cell_angle_alpha 90.00
_cell_angle_beta 90.00
_cell_angle_gamma 90.00
loop_
_atom_site_label
_atom_site_type_symbol
_atom_site_fract_x
_atom_site_fract_y
_atom_site_fract_z
Ba1 Ba 0.0000 0.0000 0.1020
Ba2 Ba 0.0000 0.0000 0.3043
Sr1 Sr 0.0000 0.0000 0.5000
Li1 Li 0.5000 0.5000 0.0000
Li2 Li 0.5000 0.5000 0.2031
Li3 Li 0.5000 0.5000 0.4105
```

Computed, not measured: an optimized crystal structure of LuGaPd2 at the PBE level of DFT.

Summary:
Calculated volume ... 70.6 Å³/cell
Magnetization ... 0.00 μB per cell
Total DFT energy (no corrections) ... -5.253 eV per atom
ΔE_f ... -0.769 eV per atom

```
data_LuGaPd2
_symmetry_space_group_name_H-M 'P 4/m m m'
_symmetry_Int_Tables_number 123
_symmetry_space_group_name_Hall '-P 4 2'
_cell_length_a 4.3881
_cell_length_b 4.3881
_cell_length_c 3.6681
_cell_angle_alpha 90.00
_cell_angle_beta 90.00
_cell_angle_gamma 90.00
loop_
_atom_site_label
_atom_site_type_symbol
_atom_site_fract_x
_atom_site_fract_y
_atom_site_fract_z
Lu1 Lu 0.0000 0.0000 0.0000
Ga1 Ga 0.5000 0.5000 0.0000
Pd1 Pd 0.0000 0.5000 0.5000
```